(1)
Crystalline VCu2GeH at its relaxed geometry, computed with PBE.

As for the calculated density: 7.7 g/cm3. Its size of the total moment is 0.000 μB per atom. Its total energy is -25.38 eV/cell.

extended XYZ file:
```
5
Lattice="3.721 0.000 0.000 0.000 3.721 0.000 0.000 0.000 3.936" Properties=species:S:1:pos:R:3 pbc="T T T"
V 0.000 0.000 0.000
Cu 0.000 1.861 1.968
Cu 1.861 0.000 1.968
Ge 1.861 1.861 0.000
H 0.000 0.000 1.968
```

=====

(2)
Crystalline Cu2GeHW at its relaxed geometry, computed with PBE.

As for the calculated density: 5.6 g/cm3. Its size of the total moment is 0.173 μB per atom. Its total energy is -20.50 eV/cell.

extended XYZ file:
```
5
Lattice="4.805 0.000 0.000 0.000 4.805 0.000 0.000 0.000 4.926" Properties=species:S:1:pos:R:3 pbc="T T T"
Cu 0.000 2.402 0.000
Cu 2.402 0.000 0.000
Ge 0.000 0.000 2.463
H 2.402 2.402 2.463
W 0.000 0.000 0.000
```

=====

(3)
Crystalline ZrCu2GeH at its relaxed geometry, computed with PBE.

As for the calculated density: 7.5 g/cm3. Its size of the total moment is 0.000 μB per atom. Its total energy is -26.01 eV/cell.

extended XYZ file:
```
5
Lattice="3.934 0.000 0.000 0.000 3.934 0.000 0.000 0.000 4.174" Properties=species:S:1:pos:R:3 pbc="T T T"
Zr 0.000 0.000 0.000
Cu 0.000 1.967 2.087
Cu 1.967 0.000 2.087
Ge 1.967 1.967 0.000
H 0.000 0.000 2.087
```

=====

(4)
Crystalline ZrCuGeH at its relaxed geometry, computed with PBE.

As for the calculated density: 7.4 g/cm3. Its size of the total moment is 0.000 μB per atom. Its total energy is -45.03 eV/cell.

extended XYZ file:
```
8
Lattice="3.833 0.000 0.000 0.000 3.833 0.000 0.000 0.000 6.968" Properties=species:S:1:pos:R:3 pbc="T T T"
Zr 0.958 0.958 1.009
Zr 2.875 2.875 5.959
Cu 0.958 2.875 3.484
Cu 2.875 0.958 3.484
Ge 0.958 0.958 5.007
Ge 2.875 2.875 1.961
H 0.958 2.875 0.000
H 2.875 0.958 0.000
```

=====

(5)
Crystalline HfCu3Ge at its relaxed geometry, computed with PBE.

The calculation puts the energy relative to the lowest polymorph listed for this composition at 850 meV/atom. The calculation puts the formation energy at 1.359 eV/atom. As for the calculated density: 6.4 g/cm3. Its size of the total moment is 0.000 μB per atom. Its total energy is -20.06 eV/cell.

extended XYZ file:
```
5
Lattice="4.860 0.000 0.000 0.000 4.860 0.000 0.000 0.000 4.860" Properties=species:S:1:pos:R:3 pbc="T T T"
Hf 0.000 0.000 0.000
Cu 0.000 0.000 2.430
Cu 0.000 2.430 0.000
Cu 2.430 0.000 0.000
Ge 2.430 2.430 2.430
```

=====

(6)
Crystalline HfCu2Ge at its relaxed geometry, computed with PBE.

The calculation puts the formation energy at 0.024 eV/atom. As for the calculated density: 9.4 g/cm3. Its size of the total moment is 0.000 μB per atom. Its total energy is -90.66 eV/cell.

extended XYZ file:
```
16
Lattice="3.777 0.000 0.000 0.000 3.777 0.000 0.000 0.000 18.823" Properties=species:S:1:pos:R:3 pbc="T T T"
Hf 0.000 0.000 0.000
Hf 0.000 1.888 4.706
Hf 1.888 0.000 14.117
Hf 1.888 1.888 9.411
Cu 0.876 0.944 11.764
Cu 0.944 2.765 16.470
Cu 0.944 2.901 7.059
Cu 1.012 0.944 2.353
Cu 2.765 2.833 2.353
Cu 2.833 0.876 7.059
Cu 2.833 1.012 16.470
Cu 2.901 2.833 11.764
Ge 0.000 0.000 9.411
Ge 0.000 1.888 14.117
Ge 1.888 0.000 4.706
Ge 1.888 1.888 0.000
```

=====

(7)
Crystalline HfCu3Ge at its relaxed geometry, computed with PBE.

The calculation puts the energy relative to the lowest polymorph listed for this composition at 0 meV/atom. The calculation puts the formation energy at 0.509 eV/atom. As for the calculated density: 8.6 g/cm3. Its size of the total moment is 0.000 μB per atom. Its total energy is -24.32 eV/cell.

extended XYZ file:
```
5
Lattice="4.403 0.000 0.000 0.000 4.403 0.000 0.000 0.000 4.403" Properties=species:S:1:pos:R:3 pbc="T T T"
Hf 0.000 0.000 0.000
Cu 0.000 2.202 2.202
Cu 2.202 0.000 2.202
Cu 2.202 2.202 0.000
Ge 2.202 2.202 2.202
```

=====

(8)
Crystalline HfCuGe3 at its relaxed geometry, computed with PBE.

The calculation puts the energy relative to the lowest polymorph listed for this composition at 337 meV/atom. The calculation puts the formation energy at 0.858 eV/atom. As for the calculated density: 5.6 g/cm3. Its size of the total moment is 0.000 μB per atom. Its total energy is -23.61 eV/cell.

extended XYZ file:
```
5
Lattice="5.147 0.000 0.000 0.000 5.147 0.000 0.000 0.000 5.147" Properties=species:S:1:pos:R:3 pbc="T T T"
Hf 0.000 0.000 0.000
Cu 2.574 2.574 2.574
Ge 0.000 0.000 2.574
Ge 0.000 2.574 0.000
Ge 2.574 0.000 0.000
```